# 1
First-principles (PBE) data for an optimized crystal structure of PrTmGaHg, as listed in the Alexandria database.

Properties
Relative energy among the computed polymorphs, meV per atom: 0

```
data_PrTmGaHg
_symmetry_space_group_name_H-M 'P 4 m m'
_symmetry_Int_Tables_number 99
_cell_length_a 3.651
_cell_length_b 3.651
_cell_length_c 7.583
_cell_angle_alpha 90.00
_cell_angle_beta 90.00
_cell_angle_gamma 90.00
loop_
_symmetry_equiv_pos_as_xyz
'x,y,z'
'-y,x,z'
'-x,-y,z'
'y,-x,z'
'-x,y,z'
'y,x,z'
'x,-y,z'
'-y,-x,z'
loop_
_atom_site_label
_atom_site_type_symbol
_atom_site_fract_x
_atom_site_fract_y
_atom_site_fract_z
Pr1 Pr 0.000 0.000 0.000
Tm1 Tm 0.000 0.000 0.528
Ga1 Ga 0.500 0.500 0.748
Hg1 Hg 0.500 0.500 0.295
```



# 2
First-principles (PBE) data for an optimized crystal structure of PrTmGaHg, as listed in the Alexandria database.

Properties
Relative energy among the computed polymorphs, meV per atom: 40

```
data_PrTmGaHg
_symmetry_space_group_name_H-M 'F -4 3 m'
_symmetry_Int_Tables_number 216
_symmetry_space_group_name_Hall 'F -4 2 3'
_cell_length_a 7.435
_cell_length_b 7.435
_cell_length_c 7.435
_cell_angle_alpha 90.00
_cell_angle_beta 90.00
_cell_angle_gamma 90.00
loop_
_atom_site_label
_atom_site_type_symbol
_atom_site_fract_x
_atom_site_fract_y
_atom_site_fract_z
Pr1 Pr 0.000 0.000 0.000
Tm1 Tm 0.000 0.000 0.500
Ga1 Ga 0.250 0.250 0.750
Hg1 Hg 0.250 0.250 0.250
```



# 3
First-principles (PBE) data for an optimized crystal structure of PrYGaHg, as listed in the Alexandria database.

Properties
Relative energy among the computed polymorphs, meV per atom: 26

```
data_PrYGaHg
_symmetry_space_group_name_H-M 'F -4 3 m'
_symmetry_Int_Tables_number 216
_symmetry_space_group_name_Hall 'F -4 2 3'
_cell_length_a 7.486
_cell_length_b 7.486
_cell_length_c 7.486
_cell_angle_alpha 90.00
_cell_angle_beta 90.00
_cell_angle_gamma 90.00
loop_
_atom_site_label
_atom_site_type_symbol
_atom_site_fract_x
_atom_site_fract_y
_atom_site_fract_z
Pr1 Pr 0.000 0.000 0.000
Y1 Y 0.000 0.000 0.500
Ga1 Ga 0.250 0.250 0.750
Hg1 Hg 0.250 0.250 0.250
```



# 4
First-principles (PBE) data for an optimized crystal structure of PrYGaHg, as listed in the Alexandria database.

Properties
Relative energy among the computed polymorphs, meV per atom: 0

```
data_PrYGaHg
_symmetry_space_group_name_H-M 'P 4 m m'
_symmetry_Int_Tables_number 99
_cell_length_a 3.676
_cell_length_b 3.676
_cell_length_c 7.651
_cell_angle_alpha 90.00
_cell_angle_beta 90.00
_cell_angle_gamma 90.00
loop_
_symmetry_equiv_pos_as_xyz
'x,y,z'
'-y,x,z'
'-x,-y,z'
'y,-x,z'
'-x,y,z'
'y,x,z'
'x,-y,z'
'-y,-x,z'
loop_
_atom_site_label
_atom_site_type_symbol
_atom_site_fract_x
_atom_site_fract_y
_atom_site_fract_z
Pr1 Pr 0.000 0.000 0.000
Y1 Y 0.000 0.000 0.528
Ga1 Ga 0.500 0.500 0.753
Hg1 Hg 0.500 0.500 0.287
```



# 5
First-principles (PBE) data for an optimized crystal structure of Pr2Zn3Ga4Hg, as listed in the Alexandria database.

```
data_Pr2Zn3Ga4Hg
_symmetry_space_group_name_H-M 'P -4 m 2'
_symmetry_Int_Tables_number 115
_cell_length_a 4.340
_cell_length_b 4.340
_cell_length_c 10.771
_cell_angle_alpha 90.00
_cell_angle_beta 90.00
_cell_angle_gamma 90.00
loop_
_symmetry_equiv_pos_as_xyz
'x,y,z'
'y,-x,-z'
'-x,-y,z'
'-y,x,-z'
'-x,y,z'
'-y,-x,-z'
'x,-y,z'
'y,x,-z'
loop_
_atom_site_label
_atom_site_type_symbol
_atom_site_fract_x
_atom_site_fract_y
_atom_site_fract_z
Pr1 Pr 0.000 0.500 0.242
Zn1 Zn 0.000 0.500 0.871
Zn2 Zn 0.500 0.500 0.500
Ga1 Ga 0.000 0.000 0.000
Ga2 Ga 0.000 0.500 0.645
Ga3 Ga 0.500 0.500 0.000
Hg1 Hg 0.000 0.000 0.500
```



# 6
First-principles (PBE) data for an optimized crystal structure of PrZnGaHg, as listed in the Alexandria database.

```
data_PrZnGaHg
_symmetry_space_group_name_H-M 'F -4 3 m'
_symmetry_Int_Tables_number 216
_symmetry_space_group_name_Hall 'F -4 2 3'
_cell_length_a 7.153
_cell_length_b 7.153
_cell_length_c 7.153
_cell_angle_alpha 90.00
_cell_angle_beta 90.00
_cell_angle_gamma 90.00
loop_
_atom_site_label
_atom_site_type_symbol
_atom_site_fract_x
_atom_site_fract_y
_atom_site_fract_z
Pr1 Pr 0.000 0.000 0.000
Zn1 Zn 0.250 0.250 0.250
Ga1 Ga 0.000 0.000 0.500
Hg1 Hg 0.250 0.250 0.750
```



# 7
First-principles (PBE) data for an optimized crystal structure of Pr2Zn4Ga3Hg, as listed in the Alexandria database.

```
data_Pr2Zn4Ga3Hg
_symmetry_space_group_name_H-M 'P -4 m 2'
_symmetry_Int_Tables_number 115
_cell_length_a 4.334
_cell_length_b 4.334
_cell_length_c 10.766
_cell_angle_alpha 90.00
_cell_angle_beta 90.00
_cell_angle_gamma 90.00
loop_
_symmetry_equiv_pos_as_xyz
'x,y,z'
'y,-x,-z'
'-x,-y,z'
'-y,x,-z'
'-x,y,z'
'-y,-x,-z'
'x,-y,z'
'y,x,-z'
loop_
_atom_site_label
_atom_site_type_symbol
_atom_site_fract_x
_atom_site_fract_y
_atom_site_fract_z
Pr1 Pr 0.000 0.500 0.241
Zn1 Zn 0.000 0.000 0.000
Zn2 Zn 0.000 0.500 0.643
Zn3 Zn 0.500 0.500 0.000
Ga1 Ga 0.000 0.500 0.870
Ga2 Ga 0.500 0.500 0.500
Hg1 Hg 0.000 0.000 0.500
```



# 8
First-principles (PBE) data for an optimized crystal structure of Ga2Hg2Pt, as listed in the Alexandria database.

```
data_Ga2Hg2Pt
_symmetry_space_group_name_H-M 'P 4/m b m'
_symmetry_Int_Tables_number 127
_symmetry_space_group_name_Hall '-P 4 2ab'
_cell_length_a 6.594
_cell_length_b 6.594
_cell_length_c 4.924
_cell_angle_alpha 90.00
_cell_angle_beta 90.00
_cell_angle_gamma 90.00
loop_
_atom_site_label
_atom_site_type_symbol
_atom_site_fract_x
_atom_site_fract_y
_atom_site_fract_z
Ga1 Ga 0.148 0.352 0.000
Hg1 Hg 0.173 0.673 0.500
Pt1 Pt 0.000 0.000 0.000
```



# 9
First-principles (PBE) data for an optimized crystal structure of GaHg2Pt, as listed in the Alexandria database.

```
data_GaHg2Pt
_symmetry_space_group_name_H-M 'R -3 m'
_symmetry_Int_Tables_number 166
_symmetry_space_group_name_Hall '-R 3 2"'
_cell_length_a 2.9147
_cell_length_b 2.9147
_cell_length_c 34.1425
_cell_angle_alpha 90.00
_cell_angle_beta 90.00
_cell_angle_gamma 120.00
loop_
_atom_site_label
_atom_site_type_symbol
_atom_site_fract_x
_atom_site_fract_y
_atom_site_fract_z
Ga1 Ga 0.0000 0.0000 0.0000
Hg1 Hg 0.0000 0.0000 0.4176
Pt1 Pt 0.0000 0.0000 0.5000
```



# 10
First-principles (PBE) data for an optimized crystal structure of GaHg2Pt, as listed in the Alexandria database.

```
data_GaHg2Pt
_symmetry_space_group_name_H-M 'I -4 2 d'
_symmetry_Int_Tables_number 122
_symmetry_space_group_name_Hall 'I -4 2bw'
_cell_length_a 9.361
_cell_length_b 9.361
_cell_length_c 4.835
_cell_angle_alpha 90.00
_cell_angle_beta 90.00
_cell_angle_gamma 90.00
loop_
_atom_site_label
_atom_site_type_symbol
_atom_site_fract_x
_atom_site_fract_y
_atom_site_fract_z
Ga1 Ga 0.000 0.000 0.000
Hg1 Hg 0.142 0.750 0.625
Pt1 Pt 0.000 0.000 0.500
```



# 11
First-principles (PBE) data for an optimized crystal structure of Ga2HgPt, as listed in the Alexandria database.

```
data_Ga2HgPt
_symmetry_space_group_name_H-M 'R -3 m'
_symmetry_Int_Tables_number 166
_symmetry_space_group_name_Hall '-R 3 2"'
_cell_length_a 3.4563
_cell_length_b 3.4563
_cell_length_c 25.4263
_cell_angle_alpha 90.00
_cell_angle_beta 90.00
_cell_angle_gamma 120.00
loop_
_atom_site_label
_atom_site_type_symbol
_atom_site_fract_x
_atom_site_fract_y
_atom_site_fract_z
Ga1 Ga 0.0000 0.0000 0.1042
Hg1 Hg 0.0000 0.0000 0.0000
Pt1 Pt 0.0000 0.0000 0.5000
```



# 12
First-principles (PBE) data for an optimized crystal structure of GaHgPt3, as listed in the Alexandria database.

Properties
Relative energy among the computed polymorphs, meV per atom: 0

```
data_GaHgPt3
_symmetry_space_group_name_H-M 'P m -3 m'
_symmetry_Int_Tables_number 221
_symmetry_space_group_name_Hall '-P 4 2 3'
_cell_length_a 4.659
_cell_length_b 4.659
_cell_length_c 4.659
_cell_angle_alpha 90.00
_cell_angle_beta 90.00
_cell_angle_gamma 90.00
loop_
_atom_site_label
_atom_site_type_symbol
_atom_site_fract_x
_atom_site_fract_y
_atom_site_fract_z
Ga1 Ga 0.000 0.000 0.000
Hg1 Hg 0.500 0.500 0.500
Pt1 Pt 0.000 0.000 0.500
```



Formation energy for every record listed, in sequence, given in meV/atom: -523, -482, -510, -536, -448, -285, -430, -47, 214, -23, -235, 432.
Ρ for every record listed, in sequence, given in kg/m3: 9532, 9375, 7918, 8032, 7838, 8650, 7827, 11411, 13208, 10440, 10134, 14051.